Density functional theory data (PBE) for a geometry-optimized SrYZr2 structure.

```
SrYZr2
1.0
5.205 0.000 0.000
0.000 1.726 6.821
0.000 -1.726 6.821
Sr Y Zr
1 1 2
Direct
0.000 0.000 0.000
0.500 0.664 0.664
0.000 0.271 0.271
0.500 0.363 0.363
```

## Properties
The value obtained for the total magnetization is 0.000 μB/atom. The density is 4.86 Mg/m³. The space group is Amm2 (38). As for the crystal system: orthorhombic. The offset from the most stable computed form comes out at 52 meV per atom.